Below is Zr2CuSe after structural relaxation, with properties calculated at the PBE level.

Output
Space group = Amm2, No. 38
Formation energy from raw total energies = -623 meV/atom
Volume = 18.343 Å³/atom
Mass density = 7.35 g/cm3

Cell lengths 3.8564, 5.5043, 5.5043 Å; angles 38.90, 90.00, 90.00 degrees
With the nearest neighbours (Å) after each atom.
Fractional coordinates of all 4 atoms:
Zr (0.0000, 0.0000, 0.0000)  4 Cu 2.77, 3 Se 2.83-2.99
Zr (0.5000, 0.3105, 0.3105)  1 Cu 2.73, 4 Se 2.80
Cu (0.5000, 0.5739, 0.5739)  2 Se 2.50, 5 Zr 2.73-2.77
Se (0.0000, 0.7270, 0.7270)  2 Cu 2.50, 4 Zr 2.80